# PBE SrSi3Sn, optimized geometry
# - ρ: 3.390 Mg/m³
# - Final energy: -3.718 eV/atom
# - Volume: 142 Å³/cell
# - Formation energy from raw total energies: 325 kJ/mol of formula units
# - Crystal system: cubic
data_SrSi3Sn
_chemical_formula_sum 'Sr1 Si3 Sn1'
_cell_length_a 5.221
_cell_length_b 5.221
_cell_length_c 5.221
_cell_angle_alpha 90.00
_cell_angle_beta 90.00
_cell_angle_gamma 90.00
_space_group_name_H-M_alt 'P 1'
_space_group_IT_number 1
loop_
_space_group_symop_operation_xyz
'x,y,z'
loop_
_atom_site_label
_atom_site_type_symbol
_atom_site_fract_x
_atom_site_fract_y
_atom_site_fract_z
Sr1 Sr 0.000 0.000 0.000
Si1 Si 0.000 0.500 0.500
Si2 Si 0.500 0.000 0.500
Si3 Si 0.500 0.500 0.000
Sn1 Sn 0.500 0.500 0.500